Compound: NaTlH3
Source: Alexandria
Functional: PBE
Structure: relaxed

Cell: 4.188 4.188 4.188 Å, 90.00 90.00 90.00°
Fractional coordinates of all 5 atoms:
Na 0.000 0.000 0.000
Tl 0.500 0.500 0.500
H 0.000 0.500 0.500
H 0.500 0.000 0.500
H 0.500 0.500 0.000

Properties
- Crystal system: cubic

Compound: Na2TlH2
Source: Alexandria
Functional: PBE
Structure: relaxed

Cell: 6.203 6.203 6.203 Å, 140.74 140.74 56.74°
Fractional coordinates of all 5 atoms:
Na 0.178 0.178 0.000
Na 0.822 0.822 0.000
Tl 0.500 0.500 0.000
H 0.250 0.750 0.500
H 0.750 0.250 0.500

Properties
- Crystal system: tetragonal

Compound: NaTlH3
Source: Alexandria
Functional: PBE
Structure: relaxed

Cell: 4.178 4.178 4.178 Å, 90.00 90.00 90.00°
Fractional coordinates of all 5 atoms:
Na 0.000 0.000 0.000
Tl 0.500 0.500 0.500
H 0.000 0.000 0.500
H 0.000 0.500 0.000
H 0.500 0.000 0.000

Properties
- Crystal system: cubic

Number 1: raw total energy -12.44 eV/cell, E above lowest polymorph 0.000 eV per formula unit. Number 2: raw total energy -11.34 eV/cell, E above lowest polymorph 0.010 eV per formula unit. Number 3: raw total energy -11.08 eV/cell, E above lowest polymorph 1.367 eV per formula unit.